No. 1
CaIn2Mo: optimized geometry, PBE.

Cell lengths 3.9827, 4.7938, 9.5886 Å; angles 90.00, 90.00, 90.00 degrees
Fractional positions:
Ca  0.0000  0.0000  0.0000
Ca  0.5000  0.5000  0.0000
In  0.0000  0.0000  0.4616
In  0.0000  0.5000  0.7189
In  0.5000  0.0000  0.7189
In  0.5000  0.5000  0.4616
Mo  0.0000  0.5000  0.2471
Mo  0.5000  0.0000  0.2471

Output
Polymorph energy (0 for the lowest one)   259.7 meV/atom
Crystal system   orthorhombic
Energy of formation   1.4 eV/f.u.
Total moment   0.00 μB per formula unit


No. 2
CaInMo: optimized geometry, PBE.

Cell lengths 7.0052, 7.0052, 7.0052 Å; angles 90.00, 90.00, 90.00 degrees
Fractional positions:
Ca  0.0000  0.0000  0.0000
Ca  0.0000  0.5000  0.5000
Ca  0.5000  0.0000  0.5000
Ca  0.5000  0.5000  0.0000
In  0.2500  0.2500  0.7500
In  0.2500  0.7500  0.2500
In  0.7500  0.2500  0.2500
In  0.7500  0.7500  0.7500
Mo  0.2500  0.2500  0.2500
Mo  0.2500  0.7500  0.7500
Mo  0.7500  0.2500  0.7500
Mo  0.7500  0.7500  0.2500

Output
Polymorph energy (0 for the lowest one)   828.8 meV/atom
Crystal system   cubic
Energy of formation   3.6 eV/f.u.
Total moment   3.22 μB per formula unit


No. 3
Ca2InMo: optimized geometry, PBE.

Cell lengths 8.3796, 8.3796, 6.0967 Å; angles 90.00, 90.00, 90.00 degrees
Fractional positions:
Ca  0.2349  0.2500  0.1250
Ca  0.2500  0.7349  0.3750
Ca  0.2500  0.7651  0.8750
Ca  0.2651  0.2500  0.6250
Ca  0.7349  0.7500  0.6250
Ca  0.7500  0.2349  0.8750
Ca  0.7500  0.2651  0.3750
Ca  0.7651  0.7500  0.1250
In  0.0000  0.0000  0.5000
In  0.0000  0.5000  0.7500
In  0.5000  0.0000  0.2500
In  0.5000  0.5000  0.0000
Mo  0.0000  0.0000  0.0000
Mo  0.0000  0.5000  0.2500
Mo  0.5000  0.0000  0.7500
Mo  0.5000  0.5000  0.5000

Output
Crystal system   tetragonal
Energy of formation   2.8 eV/f.u.
Total moment   2.11 μB per formula unit


No. 4
CaIn2Mo: optimized geometry, PBE.

Cell lengths 4.6698, 4.6698, 20.0918 Å; angles 90.00, 90.00, 90.00 degrees
Fractional positions:
Ca  0.0000  0.0000  0.0000
Ca  0.0000  0.5000  0.2500
Ca  0.5000  0.0000  0.7500
Ca  0.5000  0.5000  0.5000
In  0.1858  0.2500  0.6250
In  0.2500  0.6858  0.8750
In  0.2500  0.8142  0.3750
In  0.3142  0.2500  0.1250
In  0.6858  0.7500  0.1250
In  0.7500  0.1858  0.3750
In  0.7500  0.3142  0.8750
In  0.8142  0.7500  0.6250
Mo  0.0000  0.0000  0.5000
Mo  0.0000  0.5000  0.7500
Mo  0.5000  0.0000  0.2500
Mo  0.5000  0.5000  0.0000

Output
Polymorph energy (0 for the lowest one)   528.1 meV/atom
Crystal system   tetragonal
Energy of formation   2.5 eV/f.u.
Total moment   2.18 μB per formula unit


No. 5
Ca2InMo: optimized geometry, PBE.

Cell lengths 4.6824, 4.6933, 9.2877 Å; angles 90.00, 90.00, 90.00 degrees
Fractional positions:
Ca  0.0000  0.0000  0.2498
Ca  0.0000  0.0000  0.7502
Ca  0.5000  0.5000  0.2502
Ca  0.5000  0.5000  0.7498
In  0.0000  0.5000  0.0000
In  0.5000  0.0000  0.5000
Mo  0.0000  0.5000  0.5000
Mo  0.5000  0.0000  0.0000

Output
Crystal system   orthorhombic
Energy of formation   1.8 eV/f.u.
Total moment   2.80 μB per formula unit


No. 6
Ca3InMo: optimized geometry, PBE.

Cell lengths 5.9131, 5.9131, 5.9131 Å; angles 90.00, 90.00, 90.00 degrees
Fractional positions:
Ca  0.0000  0.0000  0.5000
Ca  0.0000  0.5000  0.0000
Ca  0.5000  0.0000  0.0000
In  0.0000  0.0000  0.0000
Mo  0.5000  0.5000  0.5000

Output
Polymorph energy (0 for the lowest one)   186.0 meV/atom
Crystal system   cubic
Energy of formation   4.5 eV/f.u.
Total moment   4.99 μB per formula unit